1.
Density functional theory data (PBE) for Ta2Ti2W after structural relaxation.

extended XYZ file:
```
10
Lattice="7.125 0.000 0.000 0.000 7.125 0.000 0.000 0.000 3.560" Properties=species:S:1:pos:R:3 pbc="T T T"
Ti 4.628 6.060 1.780
Ti 6.060 2.497 1.780
Ti 1.065 4.628 1.780
Ti 2.497 1.065 1.780
Ta 2.469 6.032 0.000
Ta 6.032 4.656 0.000
Ta 1.093 2.469 0.000
Ta 4.656 1.093 0.000
W 3.563 3.563 0.000
W 0.000 0.000 0.000
```

Volume in Å³/cell: 180.7
Formation energy from the elements in meV/atom: 441
Energy above the most stable polymorph in this dataset in meV per atom: 212
Density in g/cm3: 11.8
D(E_F) in states/eV per atom: 0.656



2.
Density functional theory data (PBE) for Pm8Ge3Te4I after structural relaxation.

extended XYZ file:
```
16
Lattice="-3.163 -6.886 4.436 2.776 -5.422 -6.436 5.699 5.460 3.849" Properties=species:S:1:pos:R:3 pbc="T T T"
Pm 5.302 -3.601 2.265
Pm 2.413 -6.393 0.487
Pm 1.198 -3.915 3.467
Pm 4.113 -2.932 -1.618
Pm 0.010 -3.247 -0.416
Pm 6.785 -0.373 0.186
Pm -1.473 -6.474 1.664
Pm 2.899 -0.454 1.362
I 1.388 -2.711 -3.218
Te 2.850 2.730 1.924
Te 1.268 -0.713 4.143
Te 0.000 0.000 0.000
Te -1.582 -3.443 2.218
Ge 4.238 0.019 -1.294
Ge -0.194 -6.154 -1.000
Ge 2.656 -3.424 0.925
```

Volume in Å³/cell: 485.3
Density in g/cm3: 6.9
Total DFT energy (no corrections) in eV per atom: -5.352
D(E_F) in states/eV per atom: 0.324



3.
Density functional theory data (PBE) for LaBeN3 after structural relaxation.

extended XYZ file:
```
5
Lattice="-1.561 -1.763 -3.548 2.413 -3.447 0.651 -3.142 -1.772 2.263" Properties=species:S:1:pos:R:3 pbc="T T T"
N -1.571 -0.886 1.131
N -0.780 -0.882 -1.774
N 1.207 -1.724 0.326
Be -1.145 -3.491 -0.317
La 0.000 0.000 0.000
```

Volume in Å³/cell: 77.2
Density in g/cm3: 4.1
Total DFT energy (no corrections) in eV per atom: -4.804
D(E_F) in states/eV per atom: 0.652



4.
Density functional theory data (PBE) for TbPr2Si3Pt12 after structural relaxation.

extended XYZ file:
```
18
Lattice="-4.277 4.292 4.845 -7.467 0.700 -1.985 -4.944 -4.021 4.425" Properties=species:S:1:pos:R:3 pbc="T T T"
Pt -12.338 -1.120 4.032
Pt -12.035 2.660 4.223
Pt -8.518 -1.737 2.074
Pt -4.654 -1.688 3.062
Pt -8.171 2.708 5.211
Pt -5.801 0.458 0.148
Pt -9.933 0.725 1.440
Pt -8.149 2.853 2.306
Pt -8.540 -1.882 4.979
Pt -4.350 2.092 3.253
Pt -6.756 0.247 5.845
Pt -10.888 0.513 7.137
Pr -10.002 0.582 4.366
Pr -6.687 0.389 2.919
Si -2.472 -2.010 2.212
Si -2.139 2.146 2.422
Si -3.734 0.350 -0.992
Tb 0.000 0.000 0.000
```

Volume in Å³/cell: 367.1
Density in g/cm3: 13.0
Total DFT energy (no corrections) in eV per atom: -6.261
D(E_F) in states/eV per atom: 0.534



5.
Density functional theory data (PBE) for B3AsBr after structural relaxation.

extended XYZ file:
```
5
Lattice="-0.672 -0.100 4.132 4.091 -0.616 0.650 0.592 4.141 0.197" Properties=species:S:1:pos:R:3 pbc="T T T"
B 2.045 -0.308 0.325
B 0.296 2.070 0.099
B -0.336 -0.050 2.066
As 2.005 1.712 2.490
Br 0.000 0.000 0.000
```

Volume in Å³/cell: 73.4
Energy above the most stable polymorph in this dataset in meV per atom: 618
Density in g/cm3: 4.2
D(E_F) in states/eV per atom: 0.538



6.
Density functional theory data (PBE) for CsK2Ni after structural relaxation.

extended XYZ file:
```
4
Lattice="-0.754 -0.427 -6.237 2.957 -4.528 -3.226 -3.288 -4.777 -2.454" Properties=species:S:1:pos:R:3 pbc="T T T"
Cs -0.543 -4.866 -5.959
K -0.814 -7.299 -8.938
K -0.271 -2.433 -2.979
Ni 0.000 0.000 0.000
```

Volume in Å³/cell: 176.6
Formation energy from the elements in meV/atom: 639
Density in g/cm3: 2.5
D(E_F) in states/eV per atom: 3.183



7.
Density functional theory data (PBE) for BeAlAs2 after structural relaxation.

extended XYZ file:
```
4
Lattice="-0.219 -5.825 -1.711 2.008 -5.110 2.601 -3.084 5.196 0.626" Properties=species:S:1:pos:R:3 pbc="T T T"
As -1.306 -2.429 -0.371
As 1.734 -10.597 0.862
Be 0.971 -5.933 0.483
Al -0.011 -3.182 1.875
```

Volume in Å³/cell: 66.8
Formation energy from the elements in meV/atom: 178
Energy above the most stable polymorph in this dataset in meV per atom: 347
Density in g/cm3: 4.6
D(E_F) in states/eV per atom: 0.470



8.
Density functional theory data (PBE) for Ce2EuSn after structural relaxation.

extended XYZ file:
```
4
Lattice="5.525 0.000 0.000 2.763 4.785 0.000 2.763 1.595 4.511" Properties=species:S:1:pos:R:3 pbc="T T T"
Eu 0.000 0.000 0.000
Ce 2.763 1.595 1.127
Ce 8.288 4.785 3.384
Sn 5.525 3.190 2.256
```

Volume in Å³/cell: 119.3
Formation energy from the elements in meV/atom: -176
Energy above the most stable polymorph in this dataset in meV per atom: 158
Density in g/cm3: 7.7
D(E_F) in states/eV per atom: 3.442